{
  "formula": "NdHo3Pt",
  "functional": "PBE",
  "state": "optimized geometry",
  "e_above_lowest_polymorph_mev_per_atom": 0.0,
  "delta_e_f_ev_per_atom": -0.430,
  "lattice": [[7.621, 0.000, 0.000], [0.000, 6.736, 0.000], [0.000, 0.000, 6.102]],
  "species": ["Nd", "Nd", "Ho", "Ho", "Ho", "Ho", "Ho", "Ho", "Pt", "Pt"],
  "fractional_positions": [[0.000, 0.140, 0.000], [0.500, 0.860, 0.500], [0.000, 0.849, 0.486], [0.244, 0.305, 0.497], [0.256, 0.695, 0.997], [0.500, 0.151, 0.986], [0.744, 0.695, 0.997], [0.756, 0.305, 0.497], [0.000, 0.511, 0.749], [0.500, 0.489, 0.249]]
}


{
  "formula": "Nd2Ho3Pt4",
  "functional": "PBE",
  "state": "optimized geometry",
  "e_above_lowest_polymorph_mev_per_atom": 144.8,
  "delta_e_f_ev_per_atom": -1.013,
  "lattice": [[3.648, -7.893, 0.000], [3.648, 7.893, 0.000], [0.000, 0.000, 7.773]],
  "species": ["Nd", "Nd", "Nd", "Nd", "Ho", "Ho", "Ho", "Ho", "Ho", "Ho", "Pt", "Pt", "Pt", "Pt", "Pt", "Pt", "Pt", "Pt"],
  "fractional_positions": [[0.100, 0.900, 0.902], [0.400, 0.600, 0.402], [0.600, 0.400, 0.598], [0.900, 0.100, 0.098], [0.000, 0.000, 0.500], [0.038, 0.462, 0.750], [0.462, 0.038, 0.250], [0.500, 0.500, 0.000], [0.538, 0.962, 0.750], [0.962, 0.538, 0.250], [0.193, 0.807, 0.549], [0.215, 0.285, 0.750], [0.285, 0.215, 0.250], [0.307, 0.693, 0.049], [0.693, 0.307, 0.951], [0.715, 0.785, 0.750], [0.785, 0.715, 0.250], [0.807, 0.193, 0.451]]
}


{
  "formula": "Nd3HoPt4",
  "functional": "PBE",
  "state": "optimized geometry",
  "delta_e_f_ev_per_atom": -0.989,
  "lattice": [[4.043, 0.000, 0.000], [0.000, 6.616, 0.000], [0.000, 0.000, 15.499]],
  "species": ["Nd", "Nd", "Nd", "Nd", "Nd", "Nd", "Ho", "Ho", "Pt", "Pt", "Pt", "Pt", "Pt", "Pt", "Pt", "Pt"],
  "fractional_positions": [[0.000, 0.000, 0.000], [0.000, 0.500, 0.199], [0.000, 0.500, 0.801], [0.500, 0.000, 0.301], [0.500, 0.000, 0.699], [0.500, 0.500, 0.500], [0.000, 0.000, 0.500], [0.500, 0.500, 0.000], [0.000, 0.294, 0.373], [0.000, 0.294, 0.627], [0.000, 0.706, 0.373], [0.000, 0.706, 0.627], [0.500, 0.206, 0.127], [0.500, 0.206, 0.873], [0.500, 0.794, 0.127], [0.500, 0.794, 0.873]]
}


{
  "formula": "NdHo2Pt9",
  "functional": "PBE",
  "state": "optimized geometry",
  "delta_e_f_ev_per_atom": -0.957,
  "lattice": [[2.715, 1.568, 8.831], [-2.715, 1.568, 8.831], [0.000, -3.135, 8.831]],
  "species": ["Nd", "Ho", "Ho", "Pt", "Pt", "Pt", "Pt", "Pt", "Pt", "Pt", "Pt", "Pt"],
  "fractional_positions": [[0.000, 0.000, 0.000], [0.140, 0.140, 0.140], [0.860, 0.860, 0.860], [0.081, 0.588, 0.588], [0.333, 0.333, 0.333], [0.412, 0.412, 0.919], [0.412, 0.919, 0.412], [0.500, 0.500, 0.500], [0.588, 0.081, 0.588], [0.588, 0.588, 0.081], [0.667, 0.667, 0.667], [0.919, 0.412, 0.412]]
}


{
  "formula": "Nd2HoPt2",
  "functional": "PBE",
  "state": "optimized geometry",
  "delta_e_f_ev_per_atom": -0.944,
  "lattice": [[4.030, 0.000, 0.000], [0.000, 6.788, 0.000], [0.000, 0.000, 9.509]],
  "species": ["Nd", "Nd", "Nd", "Nd", "Ho", "Ho", "Pt", "Pt", "Pt", "Pt"],
  "fractional_positions": [[0.000, 0.000, 0.193], [0.000, 0.000, 0.807], [0.500, 0.500, 0.307], [0.500, 0.500, 0.693], [0.000, 0.500, 0.000], [0.500, 0.000, 0.500], [0.000, 0.289, 0.500], [0.000, 0.711, 0.500], [0.500, 0.211, 0.000], [0.500, 0.789, 0.000]]
}


{
  "formula": "Nd2Ho2Pt15",
  "functional": "PBE",
  "state": "optimized geometry",
  "delta_e_f_ev_per_atom": -0.734,
  "lattice": [[4.683, 2.704, 4.617], [-4.683, 2.704, 4.617], [0.000, -5.408, 4.617]],
  "species": ["Nd", "Nd", "Ho", "Ho", "Pt", "Pt", "Pt", "Pt", "Pt", "Pt", "Pt", "Pt", "Pt", "Pt", "Pt", "Pt", "Pt", "Pt", "Pt"],
  "fractional_positions": [[0.142, 0.142, 0.142], [0.858, 0.858, 0.858], [0.393, 0.393, 0.393], [0.607, 0.607, 0.607], [0.000, 0.500, 0.500], [0.153, 0.153, 0.659], [0.153, 0.659, 0.153], [0.189, 0.500, 0.811], [0.189, 0.811, 0.500], [0.341, 0.847, 0.847], [0.500, 0.000, 0.500], [0.500, 0.189, 0.811], [0.500, 0.500, 0.000], [0.500, 0.811, 0.189], [0.659, 0.153, 0.153], [0.811, 0.189, 0.500], [0.811, 0.500, 0.189], [0.847, 0.341, 0.847], [0.847, 0.847, 0.341]]
}


{
  "formula": "NdHoPtRh",
  "functional": "PBE",
  "state": "optimized geometry",
  "e_above_lowest_polymorph_mev_per_atom": 0.0,
  "delta_e_f_ev_per_atom": -0.989,
  "lattice": [[4.407, 0.000, 0.000], [0.000, 3.846, 0.000], [0.000, 0.000, 10.681]],
  "species": ["Nd", "Nd", "Ho", "Ho", "Pt", "Pt", "Rh", "Rh"],
  "fractional_positions": [[0.000, 0.000, 0.000], [0.000, 0.500, 0.500], [0.500, 0.000, 0.718], [0.500, 0.500, 0.218], [0.500, 0.000, 0.438], [0.500, 0.500, 0.938], [0.000, 0.000, 0.265], [0.000, 0.500, 0.765]]
}


{
  "formula": "NdHoPtRh",
  "functional": "PBE",
  "state": "optimized geometry",
  "e_above_lowest_polymorph_mev_per_atom": 49.1,
  "delta_e_f_ev_per_atom": -0.940,
  "lattice": [[7.028, 0.000, 0.000], [0.000, 7.028, 0.000], [0.000, 0.000, 7.028]],
  "species": ["Nd", "Nd", "Nd", "Nd", "Ho", "Ho", "Ho", "Ho", "Pt", "Pt", "Pt", "Pt", "Rh", "Rh", "Rh", "Rh"],
  "fractional_positions": [[0.000, 0.000, 0.000], [0.000, 0.500, 0.500], [0.500, 0.000, 0.500], [0.500, 0.500, 0.000], [0.000, 0.000, 0.500], [0.000, 0.500, 0.000], [0.500, 0.000, 0.000], [0.500, 0.500, 0.500], [0.250, 0.250, 0.250], [0.250, 0.750, 0.750], [0.750, 0.250, 0.750], [0.750, 0.750, 0.250], [0.250, 0.250, 0.750], [0.250, 0.750, 0.250], [0.750, 0.250, 0.250], [0.750, 0.750, 0.750]]
}


{
  "formula": "Nd2HoSb3Pt4",
  "functional": "PBE",
  "state": "optimized geometry",
  "formation_energy_uncorrected_ev_per_atom": -0.948,
  "lattice": [[4.517, 0.000, 0.000], [0.000, 4.517, 0.000], [0.000, 0.000, 11.458]],
  "species": ["Nd", "Nd", "Ho", "Sb", "Sb", "Sb", "Pt", "Pt", "Pt", "Pt"],
  "fractional_positions": [[0.000, 0.500, 0.214], [0.500, 0.000, 0.786], [0.000, 0.000, 0.500], [0.000, 0.500, 0.869], [0.500, 0.000, 0.131], [0.500, 0.500, 0.500], [0.000, 0.000, 0.000], [0.000, 0.500, 0.643], [0.500, 0.000, 0.357], [0.500, 0.500, 0.000]]
}


{
  "formula": "NdHo2Si2Pt7",
  "functional": "PBE",
  "state": "optimized geometry",
  "formation_energy_uncorrected_ev_per_atom": -1.061,
  "lattice": [[2.893, -2.858, 0.000], [2.893, 2.858, 0.000], [-2.151, 0.000, 13.689]],
  "species": ["Nd", "Ho", "Ho", "Si", "Si", "Pt", "Pt", "Pt", "Pt", "Pt", "Pt", "Pt"],
  "fractional_positions": [[0.000, 0.000, 0.000], [0.119, 0.119, 0.359], [0.881, 0.881, 0.641], [0.400, 0.400, 0.739], [0.600, 0.600, 0.261], [0.065, 0.564, 0.168], [0.364, 0.364, 0.570], [0.436, 0.935, 0.832], [0.500, 0.500, 0.000], [0.564, 0.065, 0.168], [0.636, 0.636, 0.430], [0.935, 0.436, 0.832]]
}


{
  "formula": "Nd2HoSi3Pt12",
  "functional": "PBE",
  "state": "optimized geometry",
  "formation_energy_uncorrected_ev_per_atom": -0.554,
  "lattice": [[4.171, 2.408, 6.032], [-4.171, 2.408, 6.032], [0.000, -4.816, 6.032]],
  "species": ["Nd", "Nd", "Ho", "Si", "Si", "Si", "Pt", "Pt", "Pt", "Pt", "Pt", "Pt", "Pt", "Pt", "Pt", "Pt", "Pt", "Pt"],
  "fractional_positions": [[0.099, 0.099, 0.099], [0.901, 0.901, 0.901], [0.500, 0.500, 0.500], [0.000, 0.500, 0.500], [0.500, 0.000, 0.500], [0.500, 0.500, 0.000], [0.101, 0.644, 0.644], [0.151, 0.151, 0.600], [0.151, 0.600, 0.151], [0.356, 0.356, 0.899], [0.356, 0.899, 0.356], [0.400, 0.849, 0.849], [0.600, 0.151, 0.151], [0.644, 0.101, 0.644], [0.644, 0.644, 0.101], [0.849, 0.400, 0.849], [0.849, 0.849, 0.400], [0.899, 0.356, 0.356]]
}


{
  "formula": "NdHoSi2Pt5",
  "functional": "PBE",
  "state": "optimized geometry",
  "formation_energy_uncorrected_ev_per_atom": -1.041,
  "lattice": [[4.238, 0.000, 0.000], [0.000, 4.238, 0.000], [0.000, 0.000, 8.981]],
  "species": ["Nd", "Ho", "Si", "Si", "Pt", "Pt", "Pt", "Pt", "Pt"],
  "fractional_positions": [[0.000, 0.000, 0.000], [0.000, 0.000, 0.500], [0.500, 0.500, 0.369], [0.500, 0.500, 0.631], [0.000, 0.500, 0.241], [0.000, 0.500, 0.759], [0.500, 0.000, 0.241], [0.500, 0.000, 0.759], [0.500, 0.500, 0.000]]
}


{
  "formula": "Nd2HoSn3Pt4",
  "functional": "PBE",
  "state": "optimized geometry",
  "delta_e_f_ev_per_atom": -0.912,
  "lattice": [[4.597, 0.000, 0.000], [0.000, 4.597, 0.000], [0.000, 0.000, 11.119]],
  "species": ["Nd", "Nd", "Ho", "Sn", "Sn", "Sn", "Pt", "Pt", "Pt", "Pt"],
  "fractional_positions": [[0.000, 0.500, 0.219], [0.500, 0.000, 0.781], [0.000, 0.000, 0.500], [0.000, 0.500, 0.875], [0.500, 0.000, 0.125], [0.500, 0.500, 0.500], [0.000, 0.000, 0.000], [0.000, 0.500, 0.641], [0.500, 0.000, 0.359], [0.500, 0.500, 0.000]]
}


{
  "formula": "NdHoSnPt",
  "functional": "PBE",
  "state": "optimized geometry",
  "delta_e_f_ev_per_atom": -0.804,
  "lattice": [[7.388, 0.000, 0.000], [0.000, 7.388, 0.000], [0.000, 0.000, 7.388]],
  "species": ["Nd", "Nd", "Nd", "Nd", "Ho", "Ho", "Ho", "Ho", "Sn", "Sn", "Sn", "Sn", "Pt", "Pt", "Pt", "Pt"],
  "fractional_positions": [[0.000, 0.000, 0.000], [0.000, 0.500, 0.500], [0.500, 0.000, 0.500], [0.500, 0.500, 0.000], [0.000, 0.000, 0.500], [0.000, 0.500, 0.000], [0.500, 0.000, 0.000], [0.500, 0.500, 0.500], [0.250, 0.250, 0.750], [0.250, 0.750, 0.250], [0.750, 0.250, 0.250], [0.750, 0.750, 0.750], [0.250, 0.250, 0.250], [0.250, 0.750, 0.750], [0.750, 0.250, 0.750], [0.750, 0.750, 0.250]]
}


{
  "formula": "Nd2HoZn3Pt4",
  "functional": "PBE",
  "state": "optimized geometry",
  "delta_e_f_ev_per_atom": -0.835,
  "lattice": [[4.183, 0.000, 0.000], [0.000, 4.183, 0.000], [0.000, 0.000, 11.709]],
  "species": ["Nd", "Nd", "Ho", "Zn", "Zn", "Zn", "Pt", "Pt", "Pt", "Pt"],
  "fractional_positions": [[0.000, 0.500, 0.225], [0.500, 0.000, 0.775], [0.000, 0.000, 0.500], [0.000, 0.500, 0.874], [0.500, 0.000, 0.126], [0.500, 0.500, 0.500], [0.000, 0.000, 0.000], [0.000, 0.500, 0.658], [0.500, 0.000, 0.342], [0.500, 0.500, 0.000]]
}


{
  "formula": "NdHo2Pu",
  "functional": "PBE",
  "state": "optimized geometry",
  "e_above_lowest_polymorph_mev_per_atom": 6.8,
  "delta_e_f_ev_per_atom": 0.107,
  "lattice": [[3.544, 0.000, 0.000], [-1.772, 3.069, 0.000], [0.000, 0.000, 34.432]],
  "species": ["Nd", "Nd", "Nd", "Ho", "Ho", "Ho", "Ho", "Ho", "Ho", "Pu", "Pu", "Pu"],
  "fractional_positions": [[0.000, 0.000, 0.000], [0.333, 0.667, 0.667], [0.667, 0.333, 0.333], [0.000, 0.000, 0.580], [0.000, 0.000, 0.752], [0.333, 0.667, 0.247], [0.333, 0.667, 0.419], [0.667, 0.333, 0.085], [0.667, 0.333, 0.913], [0.000, 0.000, 0.166], [0.333, 0.667, 0.832], [0.667, 0.333, 0.499]]
}


{
  "formula": "Nd2HoPu",
  "functional": "PBE",
  "state": "optimized geometry",
  "e_above_lowest_polymorph_mev_per_atom": 35.7,
  "delta_e_f_ev_per_atom": 0.150,
  "lattice": [[5.057, 0.000, 0.000], [0.000, 5.057, 0.000], [0.000, 0.000, 5.018]],
  "species": ["Nd", "Nd", "Ho", "Pu"],
  "fractional_positions": [[0.000, 0.500, 0.000], [0.500, 0.000, 0.000], [0.000, 0.000, 0.500], [0.500, 0.500, 0.500]]
}


{
  "formula": "NdHo2Pu",
  "functional": "PBE",
  "state": "optimized geometry",
  "e_above_lowest_polymorph_mev_per_atom": 44.4,
  "delta_e_f_ev_per_atom": 0.145,
  "lattice": [[4.993, 0.000, 0.000], [0.000, 4.993, 0.000], [0.000, 0.000, 4.992]],
  "species": ["Nd", "Ho", "Ho", "Pu"],
  "fractional_positions": [[0.000, 0.000, 0.000], [0.000, 0.500, 0.500], [0.500, 0.000, 0.500], [0.500, 0.500, 0.000]]
}


{
  "formula": "Nd8Ho4Pu",
  "functional": "PBE",
  "state": "optimized geometry",
  "delta_e_f_ev_per_atom": 0.488,
  "lattice": [[5.571, 3.217, 4.520], [-5.571, 3.217, 4.520], [0.000, -6.433, 4.520]],
  "species": ["Nd", "Nd", "Nd", "Nd", "Nd", "Nd", "Nd", "Nd", "Ho", "Ho", "Ho", "Ho", "Pu"],
  "fractional_positions": [[0.242, 0.242, 0.755], [0.242, 0.755, 0.242], [0.243, 0.243, 0.243], [0.245, 0.758, 0.758], [0.755, 0.242, 0.242], [0.757, 0.757, 0.757], [0.758, 0.245, 0.758], [0.758, 0.758, 0.245], [0.000, 0.000, 0.000], [0.000, 0.500, 0.500], [0.500, 0.000, 0.500], [0.500, 0.500, 0.000], [0.500, 0.500, 0.500]]
}


{
  "formula": "Nd2HoPu",
  "functional": "PBE",
  "state": "optimized geometry",
  "e_above_lowest_polymorph_mev_per_atom": 0.0,
  "delta_e_f_ev_per_atom": 0.115,
  "lattice": [[3.563, 0.000, 0.000], [0.000, 3.563, 0.000], [0.000, 0.000, 10.178]],
  "species": ["Nd", "Nd", "Ho", "Pu"],
  "fractional_positions": [[0.000, 0.000, 0.246], [0.000, 0.000, 0.754], [0.500, 0.500, 0.500], [0.500, 0.500, 0.000]]
}


{
  "formula": "NdHo2Pu",
  "functional": "PBE",
  "state": "optimized geometry",
  "e_above_lowest_polymorph_mev_per_atom": 0.0,
  "delta_e_f_ev_per_atom": 0.100,
  "lattice": [[3.522, 0.000, 0.000], [0.000, 3.522, 0.000], [0.000, 0.000, 10.026]],
  "species": ["Nd", "Ho", "Ho", "Pu"],
  "fractional_positions": [[0.000, 0.000, 0.000], [0.500, 0.500, 0.261], [0.500, 0.500, 0.739], [0.000, 0.000, 0.500]]
}


{
  "formula": "NdHoPu",
  "functional": "PBE",
  "state": "optimized geometry",
  "e_above_lowest_polymorph_mev_per_atom": 0.0,
  "delta_e_f_ev_per_atom": 0.124,
  "lattice": [[3.541, 0.000, 0.000], [0.000, 3.541, 0.000], [0.000, 0.000, 14.943]],
  "species": ["Nd", "Nd", "Ho", "Ho", "Pu", "Pu"],
  "fractional_positions": [[0.000, 0.000, 0.000], [0.500, 0.500, 0.500], [0.000, 0.000, 0.327], [0.500, 0.500, 0.827], [0.000, 0.000, 0.667], [0.500, 0.500, 0.167]]
}


{
  "formula": "Nd8Ho5Pu",
  "functional": "PBE",
  "state": "optimized geometry",
  "delta_e_f_ev_per_atom": 0.216,
  "lattice": [[7.340, -4.449, 0.000], [7.340, 4.449, 0.000], [-5.913, 0.000, 7.347]],
  "species": ["Nd", "Nd", "Nd", "Nd", "Nd", "Nd", "Nd", "Nd", "Ho", "Ho", "Ho", "Ho", "Ho", "Pu"],
  "fractional_positions": [[0.035, 0.035, 0.364], [0.128, 0.475, 0.571], [0.411, 0.231, 0.289], [0.413, 0.092, 0.827], [0.525, 0.872, 0.429], [0.769, 0.589, 0.711], [0.908, 0.587, 0.173], [0.965, 0.965, 0.636], [0.221, 0.583, 0.047], [0.417, 0.779, 0.953], [0.599, 0.324, 0.776], [0.676, 0.401, 0.224], [0.966, 0.034, 0.000], [0.322, 0.678, 0.500]]
}


{
  "formula": "NdHoPu",
  "functional": "PBE",
  "state": "optimized geometry",
  "e_above_lowest_polymorph_mev_per_atom": 14.8,
  "delta_e_f_ev_per_atom": 0.139,
  "lattice": [[3.559, 0.000, 0.000], [-1.779, 3.082, 0.000], [0.000, 0.000, 8.604]],
  "species": ["Nd", "Ho", "Pu"],
  "fractional_positions": [[0.000, 0.000, 0.000], [0.333, 0.667, 0.659], [0.667, 0.333, 0.335]]
}


Computed values of total magnetic moment (unit: μB per atom) for the preceding records, in sequence: 0.00 0.00 0.00 0.00 0.00 0.00 0.00 0.00 0.00 0.00 0.00 0.00 0.00 0.00 0.00 1.53 1.56 1.55 0.49 1.53 1.61 2.05 0.44 2.08.
Computed values of calculated total energy (unit: eV/atom) for the preceding records, in sequence: -5.34 -6.28 -6.37 -6.65 -6.18 -6.49 -6.67 -6.62 -6.01 -6.65 -6.27 -6.64 -5.94 -5.65 -5.04 -6.96 -6.96 -6.92 -4.96 -7.00 -6.96 -7.77 -5.17 -7.75.